FeAgBr2F | PBEsol | optimized geometry

## Properties
- Symmetry: P4/mmm, No. 123
- ΔE_f (raw): -0.588 eV per atom

The structure in POSCAR format:
```
FeAgBr2F
1.0
-0.099 1.339 3.553
-3.952 -3.112 1.062
3.285 -3.669 1.474
Ag Br Fe F
1 2 1 1
direct
0.500 0.500 0.500
0.000 0.000 0.500
0.000 0.500 0.000
0.000 0.000 0.000
0.500 0.000 0.000
```